# KInPb3

KInPb3 after structural relaxation (PBE-GGA, Alexandria).

abc: 5.914 5.914 5.914
angles: 90.00 90.00 90.00
Space group Pm-3m (No. 221)
Unique sites:
K (0.000, 0.000, 0.000) (multiplicity 1)
In (0.500, 0.500, 0.500) (multiplicity 1)
Pb (0.000, 0.500, 0.500) (multiplicity 3)

As for the offset from the most stable computed form: 272 meV/atom. For the formation energy from the elements, the calculation gives 0.203 eV/atom.